(1)
Ce3Ga2Rh3, relaxed, DFT GGA-PBE; energy relative to the elements = -0.749 eV per atom; magnetic moment = 1.0 μB per formula unit
1.0
7.360 0.000 0.000
0.000 15.424 0.000
0.000 0.000 5.817
Ce Ga Rh
12 8 12
direct
0.037 0.104 0.153
0.037 0.396 0.153
0.187 0.250 0.596
0.313 0.750 0.096
0.463 0.604 0.653
0.463 0.896 0.653
0.537 0.104 0.347
0.537 0.396 0.347
0.687 0.250 0.904
0.813 0.750 0.404
0.963 0.604 0.847
0.963 0.896 0.847
0.107 0.607 0.347
0.107 0.893 0.347
0.393 0.107 0.847
0.393 0.393 0.847
0.607 0.607 0.153
0.607 0.893 0.153
0.893 0.107 0.653
0.893 0.393 0.653
0.177 0.750 0.598
0.195 0.032 0.560
0.195 0.468 0.560
0.305 0.532 0.060
0.305 0.968 0.060
0.323 0.250 0.098
0.677 0.750 0.902
0.695 0.032 0.940
0.695 0.468 0.940
0.805 0.532 0.440
0.805 0.968 0.440
0.823 0.250 0.402



(2)
Ce4GaRh4, relaxed, DFT GGA-PBE; energy relative to the elements = -0.647 eV per atom; magnetic moment = 0.0 μB per formula unit
1.0
-4.403 4.403 2.656
4.403 -4.403 2.656
4.403 4.403 -2.656
Ce Ga Rh
4 1 4
direct
0.085 0.708 0.793
0.292 0.085 0.377
0.708 0.915 0.623
0.915 0.292 0.207
0.500 0.500 0.000
0.233 0.414 0.647
0.414 0.767 0.181
0.586 0.233 0.819
0.767 0.586 0.353



(3)
Ce4Ga16Rh3, relaxed, DFT GGA-PBE; energy relative to the elements = -0.642 eV per atom; magnetic moment = 1.5 μB per formula unit
1.0
6.216 0.000 0.000
0.000 6.216 0.000
0.000 0.000 11.237
Ce Ga Rh
4 16 3
direct
0.000 0.500 0.193
0.000 0.500 0.807
0.500 0.000 0.193
0.500 0.000 0.807
0.000 0.000 0.199
0.000 0.000 0.801
0.213 0.213 0.000
0.213 0.787 0.000
0.249 0.249 0.381
0.249 0.249 0.619
0.249 0.751 0.381
0.249 0.751 0.619
0.500 0.500 0.226
0.500 0.500 0.774
0.751 0.249 0.381
0.751 0.249 0.619
0.751 0.751 0.381
0.751 0.751 0.619
0.787 0.213 0.000
0.787 0.787 0.000
0.000 0.500 0.500
0.500 0.000 0.500
0.500 0.500 0.000



(4)
Ce3Ga5Rh6, relaxed, DFT GGA-PBE; energy relative to the elements = -0.800 eV per atom; magnetic moment = 0.9 μB per formula unit
1.0
4.293 0.000 0.000
0.000 12.974 0.000
0.000 0.000 8.973
Ce Ga Rh
6 10 12
direct
0.250 0.053 0.249
0.250 0.447 0.249
0.250 0.750 0.277
0.750 0.250 0.723
0.750 0.553 0.751
0.750 0.947 0.751
0.250 0.098 0.624
0.250 0.402 0.624
0.250 0.635 0.983
0.250 0.750 0.710
0.250 0.865 0.983
0.750 0.135 0.017
0.750 0.250 0.290
0.750 0.365 0.017
0.750 0.598 0.376
0.750 0.902 0.376
0.250 0.057 0.902
0.250 0.250 0.094
0.250 0.250 0.447
0.250 0.443 0.902
0.250 0.588 0.526
0.250 0.912 0.526
0.750 0.088 0.474
0.750 0.412 0.474
0.750 0.557 0.098
0.750 0.750 0.553
0.750 0.750 0.906
0.750 0.943 0.098



(5)
CeGaRh4, relaxed, DFT GGA-PBE; energy relative to the elements = -0.496 eV per atom; magnetic moment = 0.0 μB per formula unit
1.0
4.228 -2.279 0.000
4.228 2.279 0.000
-0.403 0.000 5.220
Ce Ga Rh
1 1 4
direct
0.000 0.000 0.000
0.500 0.500 0.500
0.180 0.180 0.589
0.318 0.318 0.103
0.682 0.682 0.897
0.820 0.820 0.411



(6)
CeGaRh, relaxed, DFT GGA-PBE; energy relative to the elements = -0.782 eV per atom; magnetic moment = 0.1 μB per formula unit
1.0
5.891 0.000 0.000
0.000 3.672 0.000
0.000 0.000 10.962
Ce Ga Rh
4 4 4
direct
0.249 0.250 0.074
0.251 0.750 0.574
0.749 0.250 0.426
0.751 0.750 0.926
0.249 0.250 0.355
0.251 0.750 0.855
0.749 0.250 0.145
0.751 0.750 0.645
0.001 0.250 0.750
0.499 0.750 0.250
0.501 0.250 0.750
0.999 0.750 0.250



(7)
Ce4Ga2Rh, relaxed, DFT GGA-PBE; energy relative to the elements = -0.440 eV per atom; magnetic moment = 0.6 μB per formula unit
1.0
7.271 -2.198 0.000
7.271 2.198 0.000
-1.378 0.000 5.062
Ce Ga Rh
4 2 1
direct
0.096 0.096 0.101
0.383 0.383 0.240
0.617 0.617 0.760
0.904 0.904 0.899
0.256 0.256 0.659
0.744 0.744 0.341
0.000 0.000 0.500



(8)
Ce2Ga2Rh, relaxed, DFT GGA-PBE; energy relative to the elements = -0.247 eV per atom; magnetic moment = 2.3 μB per formula unit
1.0
4.326 0.000 0.000
-2.163 3.747 0.000
0.000 0.000 8.075
Ce Ga Rh
2 2 1
direct
0.000 0.000 0.175
0.000 0.000 0.825
0.333 0.667 0.585
0.667 0.333 0.415
0.000 0.000 0.500



(9)
Ce3Ga2Rh3, relaxed, DFT GGA-PBE; energy relative to the elements = -0.646 eV per atom; magnetic moment = 1.4 μB per formula unit
1.0
2.716 1.568 6.386
-2.716 1.568 6.386
0.000 -3.136 6.386
Ce Ga Rh
3 2 3
direct
0.000 0.000 0.000
0.425 0.425 0.425
0.575 0.575 0.575
0.272 0.272 0.272
0.728 0.728 0.728
0.000 0.000 0.500
0.000 0.500 0.000
0.500 0.000 0.000



(10)
Ce3GaRh, relaxed, DFT GGA-PBE; energy relative to the elements = -0.473 eV per atom; magnetic moment = 0.0 μB per formula unit
1.0
6.532 -2.288 0.000
6.532 2.288 0.000
-1.108 0.000 7.776
Ce Ga Rh
6 2 2
direct
0.031 0.031 0.310
0.253 0.253 0.685
0.438 0.438 0.126
0.562 0.562 0.874
0.747 0.747 0.315
0.969 0.969 0.690
0.185 0.185 0.050
0.815 0.815 0.950
0.386 0.386 0.470
0.614 0.614 0.530



(11)
CeGa12Rh6, relaxed, DFT GGA-PBE; energy relative to the elements = -0.538 eV per atom; magnetic moment = 1.2 μB per formula unit
1.0
5.701 3.292 2.872
-5.701 3.292 2.872
0.000 -6.583 2.872
Ce Ga Rh
1 12 6
direct
0.000 0.000 0.000
0.116 0.500 0.884
0.116 0.884 0.500
0.134 0.406 0.406
0.406 0.134 0.406
0.406 0.406 0.134
0.500 0.116 0.884
0.500 0.884 0.116
0.594 0.594 0.866
0.594 0.866 0.594
0.866 0.594 0.594
0.884 0.116 0.500
0.884 0.500 0.116
0.275 0.275 0.695
0.275 0.695 0.275
0.305 0.725 0.725
0.695 0.275 0.275
0.725 0.305 0.725
0.725 0.725 0.305



(12)
Ce5GaRh, relaxed, DFT GGA-PBE; energy relative to the elements = -0.235 eV per atom; magnetic moment = 2.2 μB per formula unit
1.0
5.103 -3.404 0.000
5.103 3.404 0.000
-3.917 0.000 10.026
Ce Ga Rh
10 2 2
direct
0.005 0.555 0.341
0.062 0.938 0.750
0.213 0.478 0.937
0.445 0.995 0.159
0.478 0.213 0.437
0.522 0.787 0.563
0.555 0.005 0.841
0.787 0.522 0.063
0.938 0.062 0.250
0.995 0.445 0.659
0.455 0.545 0.250
0.545 0.455 0.750
0.000 0.000 0.000
0.000 0.000 0.500



(13)
CeGa3Rh, relaxed, DFT GGA-PBE; energy relative to the elements = -0.665 eV per atom; magnetic moment = 0.4 μB per formula unit
1.0
8.383 0.000 0.000
0.000 4.271 0.000
0.000 0.000 10.705
Ce Ga Rh
4 12 4
direct
0.200 0.250 0.015
0.300 0.750 0.515
0.700 0.250 0.485
0.800 0.750 0.985
0.060 0.250 0.592
0.107 0.750 0.805
0.143 0.750 0.213
0.357 0.250 0.713
0.393 0.250 0.305
0.440 0.750 0.092
0.560 0.250 0.908
0.607 0.750 0.695
0.643 0.750 0.287
0.857 0.250 0.787
0.893 0.250 0.195
0.940 0.750 0.408
0.105 0.250 0.354
0.395 0.750 0.854
0.605 0.250 0.146
0.895 0.750 0.646



(14)
Ce4Ga2Rh, relaxed, DFT GGA-PBE; energy relative to the elements = -0.437 eV per atom; magnetic moment = 1.3 μB per formula unit
1.0
4.039 -4.366 0.000
4.039 4.366 0.000
0.000 0.000 4.500
Ce Ga Rh
4 2 1
direct
0.000 0.500 0.500
0.167 0.167 0.000
0.500 0.000 0.500
0.833 0.833 0.000
0.328 0.672 0.000
0.672 0.328 0.000
0.500 0.500 0.500



(15)
CeGa3Rh4, relaxed, DFT GGA-PBE; energy relative to the elements = -0.724 eV per atom; magnetic moment = 0.6 μB per formula unit
1.0
2.147 1.239 8.130
-2.147 1.239 8.130
0.000 -2.479 8.130
Ce Ga Rh
1 3 4
direct
0.000 0.000 0.000
0.242 0.242 0.242
0.500 0.500 0.500
0.758 0.758 0.758
0.131 0.131 0.131
0.397 0.397 0.397
0.603 0.603 0.603
0.869 0.869 0.869



(16)
CeGaRh3, relaxed, DFT GGA-PBE; energy relative to the elements = -0.089 eV per atom; magnetic moment = 0.0 μB per formula unit
1.0
3.533 -6.971 0.000
3.533 6.971 0.000
0.000 0.000 4.790
Ce Ga Rh
2 2 6
direct
0.107 0.893 0.750
0.893 0.107 0.250
0.336 0.664 0.750
0.664 0.336 0.250
0.117 0.262 0.750
0.262 0.117 0.250
0.500 0.500 0.000
0.500 0.500 0.500
0.738 0.883 0.750
0.883 0.738 0.250



(17)
Ce3Ga4Rh2, relaxed, DFT GGA-PBE; energy relative to the elements = -0.669 eV per atom; magnetic moment = 1.9 μB per formula unit
1.0
5.307 -2.237 0.000
5.307 2.237 0.000
-2.206 0.000 7.994
Ce Ga Rh
3 4 2
direct
0.000 0.000 0.000
0.373 0.373 0.305
0.627 0.627 0.695
0.090 0.090 0.402
0.285 0.285 0.925
0.715 0.715 0.075
0.910 0.910 0.598
0.313 0.313 0.631
0.687 0.687 0.369



(18)
CeGaRh, relaxed, DFT GGA-PBE; energy relative to the elements = -0.621 eV per atom; magnetic moment = 0.0 μB per formula unit
1.0
-1.578 1.578 5.661
1.578 -1.578 5.661
1.578 1.578 -5.661
Ce Ga Rh
1 1 1
direct
0.000 0.000 0.000
0.298 0.298 0.000
0.679 0.679 0.000



(19)
CeGa12Rh7, relaxed, DFT GGA-PBE; energy relative to the elements = -0.245 eV per atom; magnetic moment = 1.3 μB per formula unit
1.0
-4.575 4.575 4.575
4.575 -4.575 4.575
4.575 4.575 -4.575
Ce Ga Rh
1 12 7
direct
0.000 0.000 0.000
0.114 0.777 0.337
0.223 0.337 0.559
0.223 0.663 0.886
0.337 0.114 0.777
0.337 0.559 0.223
0.441 0.777 0.663
0.559 0.223 0.337
0.663 0.441 0.777
0.663 0.886 0.223
0.777 0.337 0.114
0.777 0.663 0.441
0.886 0.223 0.663
0.000 0.000 0.500
0.000 0.500 0.000
0.000 0.500 0.500
0.500 0.000 0.000
0.500 0.000 0.500
0.500 0.500 0.000
0.500 0.500 0.500



Number 1: V 20.6 Å³/atom. Number 2: V 22.9 Å³/atom. Number 3: V 18.9 Å³/atom. Number 4: V 17.8 Å³/atom. Number 5: V 16.8 Å³/atom. Number 6: V 19.8 Å³/atom. Number 7: V 23.1 Å³/atom. Number 8: V 26.2 Å³/atom. Number 9: V 20.4 Å³/atom. Number 10: V 23.2 Å³/atom. Number 11: V 17.0 Å³/atom. Number 12: V 24.9 Å³/atom. Number 13: V 19.2 Å³/atom. Number 14: V 22.7 Å³/atom. Number 15: V 16.2 Å³/atom. Number 16: V 23.6 Å³/atom. Number 17: V 21.1 Å³/atom. Number 18: V 18.8 Å³/atom. Number 19: V 19.1 Å³/atom.